# 1
DFT (PBE-GGA) results for crystalline CuPdOF2 at its relaxed geometry.

Summary:
total DFT energy (no corrections): -4.014 eV per atom
DOS(E_F): 4.12 states/eV per cell
SG: No. 123

Unit cell a=4.2605 b=4.2605 c=3.8404 alpha=90.00 beta=90.00 gamma=90.00
Fractional positions:
F 0.5000 0.0000 0.0000
F 0.0000 0.5000 0.0000
O 0.0000 0.0000 0.5000
Pd 0.0000 0.0000 0.0000
Cu 0.5000 0.5000 0.5000

# 2
DFT (PBE-GGA) results for crystalline ScAu at its relaxed geometry.

Summary:
total DFT energy (no corrections): -4.731 eV per atom
DOS(E_F): 6.58 states/eV per cell
SG: No. 217

Unit cell a=8.5105 b=8.5105 c=8.5105 alpha=90.00 beta=90.00 gamma=90.00
Fractional positions:
Sc 0.6403 0.6403 0.6403
Sc 0.1403 0.8597 0.8597
Sc 0.3597 0.6403 0.3597
Sc 0.3597 0.3597 0.6403
Sc 0.1403 0.1403 0.1403
Sc 0.6403 0.3597 0.3597
Sc 0.8597 0.1403 0.8597
Sc 0.8597 0.8597 0.1403
Au 0.1740 0.8260 0.1740
Au 0.8260 0.8260 0.8260
Au 0.3260 0.6740 0.6740
Au 0.8260 0.1740 0.1740
Au 0.6740 0.3260 0.6740
Au 0.1740 0.1740 0.8260
Au 0.6740 0.6740 0.3260
Au 0.3260 0.3260 0.3260

# 3
DFT (PBE-GGA) results for crystalline La3Pm4Er at its relaxed geometry.

Summary:
total DFT energy (no corrections): -4.683 eV per atom
DOS(E_F): 11.73 states/eV per cell
SG: No. 71

Unit cell a=3.5534 b=11.9581 c=9.1188 alpha=130.98 beta=101.24 gamma=90.00
Fractional positions:
Er 0.5000 0.0000 0.0000
La 0.2415 0.2414 0.4830
La 0.0000 0.5000 0.0000
La 0.7585 0.7586 0.5170
Pm 0.3666 0.1129 0.7332
Pm 0.3668 0.6207 0.7336
Pm 0.6332 0.3793 0.2664
Pm 0.6334 0.8871 0.2668

# 4
DFT (PBE-GGA) results for crystalline TaMn2Ge at its relaxed geometry.

Summary:
total DFT energy (no corrections): -8.847 eV per atom
DOS(E_F): 3.94 states/eV per cell
SG: No. 123

Unit cell a=3.0656 b=3.0656 c=5.7035 alpha=90.00 beta=90.00 gamma=90.00
Fractional positions:
Ta 0.5000 0.5000 0.5000
Ge 0.5000 0.5000 0.0000
Mn 0.0000 0.0000 0.2372
Mn 0.0000 0.0000 0.7628

# 5
DFT (PBE-GGA) results for crystalline Cs3H8Pt2 at its relaxed geometry.

Summary:
total DFT energy (no corrections): -3.253 eV per atom
DOS(E_F): 4.86 states/eV per cell
SG: No. 166

Unit cell a=6.4810 b=6.4810 c=8.4723 alpha=67.51 beta=67.51 gamma=60.00
Fractional positions:
H 0.2883 0.2883 0.7017
H 0.7218 0.2883 0.7017
H 0.2782 0.7117 0.2983
H 0.7117 0.7117 0.2983
H 0.2883 0.7218 0.7017
H 0.3703 0.3703 0.8892
H 0.6297 0.6297 0.1108
H 0.7117 0.2782 0.2983
Pt 0.4449 0.4449 0.6653
Pt 0.5551 0.5551 0.3347
Cs 0.7714 0.7714 0.6859
Cs 0.2286 0.2286 0.3141
Cs 0.0000 0.0000 0.0000

# 6
DFT (PBE-GGA) results for crystalline TaV2B at its relaxed geometry.

Summary:
total DFT energy (no corrections): -9.274 eV per atom
DOS(E_F): 4.21 states/eV per cell
SG: No. 166

Unit cell a=2.9519 b=2.9519 c=7.2748 alpha=78.29 beta=78.29 gamma=60.00
Fractional positions:
V 0.2757 0.2757 0.1729
V 0.7243 0.7243 0.8271
B 0.0000 0.0000 0.0000
Ta 0.5000 0.5000 0.5000

# 7
DFT (PBE-GGA) results for crystalline KIn2Pt at its relaxed geometry.

Summary:
total DFT energy (no corrections): -3.024 eV per atom
DOS(E_F): 1.03 states/eV per cell
SG: No. 12

Unit cell a=6.2722 b=6.2722 c=3.0012 alpha=80.33 beta=80.33 gamma=119.61
Fractional positions:
Pt 0.0000 0.5000 0.5000
In 0.0000 0.0000 0.0000
In 0.5000 0.5000 0.0000
K 0.5000 0.0000 0.5000

# 8
DFT (PBE-GGA) results for crystalline Ca3HgGe at its relaxed geometry.

Summary:
total DFT energy (no corrections): -2.676 eV per atom
DOS(E_F): 3.43 states/eV per cell
SG: No. 63

Unit cell a=5.2529 b=5.2583 c=10.8001 alpha=90.00 beta=75.93 gamma=90.00
Fractional positions:
Ca 0.0745 0.7500 0.4994
Ca 0.2505 0.7500 0.1473
Ca 0.8985 0.7500 0.8513
Ca 0.3978 0.2500 0.8527
Ca 0.5739 0.2500 0.5006
Ca 0.7498 0.2500 0.1487
Hg 0.4812 0.7500 0.6860
Hg 0.1672 0.2500 0.3140
Ge 0.6634 0.7500 0.3215
Ge 0.9849 0.2500 0.6785